Here is an optimized crystal structure of Tl2Ga2H from Alexandria. Energies are from PBE-GGA.

The structure belongs to space group P4/mbm (No. 127); the cell edges are 6.1750, 6.1750 and 5.6155 Å and the angles 90.00°, 90.00° and 90.00°. The inequivalent atoms are Tl at (0.1857, 0.3143, 0.0000), Ga at (0.1743, 0.6743, 0.5000) and H at (0.0000, 0.0000, 0.5000).

The polymorph energy (0 for the lowest one) comes out at 0 meV/atom. The calculation puts the density of states at the Fermi level at 0.578 states/eV/atom. The magnetic moment comes out at 0.00 μB/f.u. The total energy comes out at -2.544 eV/atom.